Below is Li4Ac2InSn3 after structural relaxation, with properties calculated at the PBE level. Values from VASP.

Output
energy relative to the elements	-514	meV per atom
magnetization	0.00	μB/f.u.
DOS at the Fermi energy	0.5112	states/eV/atom
E	-3.576	eV/atom

The structure in Quantum ESPRESSO input format:
```
&SYSTEM
  ibrav = 0, nat = 10, ntyp = 4
/
ATOMIC_SPECIES
Li 6.94 Li.upf
Ac 227.00 Ac.upf
In 114.82 In.upf
Sn 118.71 Sn.upf
ATOMIC_POSITIONS crystal
Li 0.000 0.000 0.000
Li 0.000 0.500 0.363
Li 0.500 0.000 0.637
Li 0.500 0.500 0.000
Ac 0.000 0.500 0.762
Ac 0.500 0.000 0.238
In 0.500 0.500 0.500
Sn 0.000 0.000 0.500
Sn 0.000 0.500 0.127
Sn 0.500 0.000 0.873
CELL_PARAMETERS angstrom
4.690 0.000 0.000
0.000 4.690 0.000
0.000 0.000 11.290
```

Below is LiAc2InSn6 after structural relaxation, with properties calculated at the PBE level. Values from VASP.

Output
energy relative to the elements	-280	meV per atom
magnetization	0.00	μB/f.u.
DOS at the Fermi energy	0.5633	states/eV/atom
E	-3.968	eV/atom

The structure in Quantum ESPRESSO input format:
```
&SYSTEM
  ibrav = 0, nat = 20, ntyp = 4
/
ATOMIC_SPECIES
Li 6.94 Li.upf
Ac 227.00 Ac.upf
In 114.82 In.upf
Sn 118.71 Sn.upf
ATOMIC_POSITIONS crystal
Li 0.250 0.250 0.110
Li 0.750 0.750 0.890
Ac 0.250 0.537 0.854
Ac 0.250 0.963 0.854
Ac 0.750 0.037 0.146
Ac 0.750 0.463 0.146
In 0.250 0.750 0.402
In 0.750 0.250 0.598
Sn 0.027 0.750 0.095
Sn 0.030 0.250 0.367
Sn 0.250 0.501 0.234
Sn 0.250 0.999 0.234
Sn 0.470 0.250 0.367
Sn 0.473 0.750 0.095
Sn 0.527 0.250 0.905
Sn 0.530 0.750 0.633
Sn 0.750 0.001 0.766
Sn 0.750 0.499 0.766
Sn 0.970 0.750 0.633
Sn 0.973 0.250 0.905
CELL_PARAMETERS angstrom
6.771 0.000 0.000
0.000 10.071 0.000
0.000 0.000 9.718
```

Below is LiAcInSn after structural relaxation, with properties calculated at the PBE level. Values from VASP.

Output
energy relative to the elements	-506	meV per atom
energy above the most stable polymorph in this dataset	0	meV/atom
magnetization	0.00	μB/f.u.
DOS at the Fermi energy	0.4169	states/eV/atom
E	-3.697	eV/atom

The structure in Quantum ESPRESSO input format:
```
&SYSTEM
  ibrav = 0, nat = 4, ntyp = 4
/
ATOMIC_SPECIES
Li 6.94 Li.upf
Ac 227.00 Ac.upf
In 114.82 In.upf
Sn 118.71 Sn.upf
ATOMIC_POSITIONS crystal
Li 0.000 0.000 0.000
Ac 0.494 0.494 0.494
In 0.281 0.281 0.281
Sn 0.707 0.707 0.707
CELL_PARAMETERS angstrom
2.345 1.354 5.935
-2.345 1.354 5.935
0.000 -2.708 5.935
```

Below is LiAcInSn after structural relaxation, with properties calculated at the PBE level. Values from VASP.

Output
energy relative to the elements	-370	meV per atom
energy above the most stable polymorph in this dataset	137	meV/atom
magnetization	0.00	μB/f.u.
DOS at the Fermi energy	0.6935	states/eV/atom
E	-3.561	eV/atom

The structure in Quantum ESPRESSO input format:
```
&SYSTEM
  ibrav = 0, nat = 4, ntyp = 4
/
ATOMIC_SPECIES
Li 6.94 Li.upf
Ac 227.00 Ac.upf
In 114.82 In.upf
Sn 118.71 Sn.upf
ATOMIC_POSITIONS crystal
Li 0.000 0.000 0.000
Ac 0.500 0.500 0.500
In 0.250 0.250 0.250
Sn 0.750 0.750 0.750
CELL_PARAMETERS angstrom
0.000 3.876 3.876
3.876 0.000 3.876
3.876 3.876 0.000
```

Below is Sr2Li4Ac3In2 after structural relaxation, with properties calculated at the PBE level. Values from VASP.

Output
energy relative to the elements	-72	meV per atom
magnetization	0.67	μB/f.u.
DOS at the Fermi energy	0.9613	states/eV/atom
E	-2.692	eV/atom

The structure in Quantum ESPRESSO input format:
```
&SYSTEM
  ibrav = 0, nat = 11, ntyp = 4
/
ATOMIC_SPECIES
Sr 87.62 Sr.upf
Li 6.94 Li.upf
Ac 227.00 Ac.upf
In 114.82 In.upf
ATOMIC_POSITIONS crystal
Sr 0.333 0.667 0.083
Sr 0.667 0.333 0.917
Li 0.333 0.667 0.385
Li 0.333 0.667 0.816
Li 0.667 0.333 0.184
Li 0.667 0.333 0.615
Ac 0.000 0.000 0.272
Ac 0.000 0.000 0.500
Ac 0.000 0.000 0.728
In 0.333 0.667 0.626
In 0.667 0.333 0.374
CELL_PARAMETERS angstrom
5.233 0.000 0.000
-2.616 4.532 0.000
0.000 0.000 16.337
```

Below is Li2AcTb2In2 after structural relaxation, with properties calculated at the PBE level. Values from VASP.

Output
energy relative to the elements	-244	meV per atom
magnetization	0.00	μB/f.u.
DOS at the Fermi energy	0.7721	states/eV/atom
E	-3.483	eV/atom

The structure in Quantum ESPRESSO input format:
```
&SYSTEM
  ibrav = 0, nat = 7, ntyp = 4
/
ATOMIC_SPECIES
Li 6.94 Li.upf
Ac 227.00 Ac.upf
Tb 158.93 Tb.upf
In 114.82 In.upf
ATOMIC_POSITIONS crystal
Li 0.083 0.083 0.083
Li 0.917 0.917 0.917
Ac 0.500 0.500 0.500
Tb 0.369 0.369 0.369
Tb 0.631 0.631 0.631
In 0.247 0.247 0.247
In 0.753 0.753 0.753
CELL_PARAMETERS angstrom
2.483 1.433 9.293
-2.483 1.433 9.293
0.000 -2.867 9.293
```

Below is LiAcInTe3 after structural relaxation, with properties calculated at the PBE level. Values from VASP.

Output
magnetization	0.00	μB/f.u.
DOS at the Fermi energy	0.4401	states/eV/atom
E	-3.975	eV/atom
ΔE_f (raw)	-0.94	eV per atom

The structure in Quantum ESPRESSO input format:
```
&SYSTEM
  ibrav = 0, nat = 12, ntyp = 4
/
ATOMIC_SPECIES
Li 6.94 Li.upf
Ac 227.00 Ac.upf
In 114.82 In.upf
Te 127.60 Te.upf
ATOMIC_POSITIONS crystal
Li 0.093 0.250 0.096
Li 0.907 0.750 0.904
Ac 0.185 0.250 0.740
Ac 0.815 0.750 0.260
In 0.339 0.750 0.356
In 0.661 0.250 0.644
Te 0.099 0.250 0.380
Te 0.222 0.750 0.009
Te 0.433 0.750 0.683
Te 0.567 0.250 0.317
Te 0.778 0.250 0.991
Te 0.901 0.750 0.620
CELL_PARAMETERS angstrom
9.285 0.000 0.000
0.000 4.503 0.000
-2.658 0.000 9.416
```

Below is LiAcThIn after structural relaxation, with properties calculated at the PBE level. Values from VASP.

Output
energy relative to the elements	-60	meV per atom
magnetization	0.00	μB/f.u.
DOS at the Fermi energy	0.9103	states/eV/atom
E	-4.105	eV/atom

The structure in Quantum ESPRESSO input format:
```
&SYSTEM
  ibrav = 0, nat = 4, ntyp = 4
/
ATOMIC_SPECIES
Li 6.94 Li.upf
Ac 227.00 Ac.upf
Th 232.04 Th.upf
In 114.82 In.upf
ATOMIC_POSITIONS crystal
Li 0.000 0.000 0.000
Ac 0.750 0.750 0.750
Th 0.250 0.250 0.250
In 0.500 0.500 0.500
CELL_PARAMETERS angstrom
0.000 3.931 3.931
3.931 0.000 3.931
3.931 3.931 0.000
```

Which of these has the highest E?
Sr2Li4Ac3In2

The lowest DOS at the Fermi energy belongs to which entry?
number 3

Look up the E of the fifth one.
-2.692 eV/atom

Look up the E of the fifth one.
-2.692 eV/atom